A | Density functional theory data (PBE) for a geometry-optimized BeCu3Sb structure.

abc: 4.851 4.851 4.851
angles: 90.00 90.00 90.00
Fractional positions:
Cu1 0.000 0.500 0.000
Cu2 0.000 0.000 0.500
Cu3 0.500 0.000 0.000
Sb1 0.000 0.000 0.000
Be1 0.500 0.500 0.500

Results
SG: Pm-3m
N(E_F): 1.74 states/eV/cell
M_tot: 0.000 μB per atom

---

B | Density functional theory data (PBE) for a geometry-optimized BeCu3Sb structure.

abc: 4.209 4.209 4.209
angles: 90.00 90.00 90.00
Fractional positions:
Be1 0.000 0.000 0.000
Sb1 0.500 0.500 0.500
Cu1 0.000 0.000 0.500
Cu2 0.000 0.500 0.000
Cu3 0.500 0.000 0.000

Results
SG: Pm-3m
N(E_F): 1.86 states/eV/cell
M_tot: 0.000 μB per atom

---

Most stable: B. Least stable: A.

---

A | Density functional theory data (PBE) for a geometry-optimized BeCuSbTe2 structure.

abc: 5.085 5.085 4.691
angles: 90.00 90.00 90.00
Fractional positions:
Cu1 0.500 0.500 0.500
Te1 0.000 0.500 0.000
Te2 0.500 0.000 0.000
Sb1 0.000 0.000 0.500
Be1 0.000 0.000 0.000

Results
SG: P4/mmm
N(E_F): 3.45 states/eV/cell
M_tot: 0.000 μB per atom

---

B | Density functional theory data (PBE) for a geometry-optimized BeCuSbTe2 structure.

abc: 5.224 4.912 5.224
angles: 90.00 90.00 90.00
Fractional positions:
Sb1 0.000 0.500 0.000
Cu1 0.000 0.000 0.000
Te1 0.000 0.000 0.500
Te2 0.500 0.000 0.000
Be1 0.500 0.500 0.500

Results
SG: P4/mmm
N(E_F): 5.53 states/eV/cell
M_tot: 0.000 μB per atom

---

Most stable: A. Least stable: B.

---

A | Density functional theory data (PBE) for a geometry-optimized BeCuSb2Te structure.

abc: 5.029 5.029 5.205
angles: 90.00 90.00 90.00
Fractional positions:
Sb1 0.500 0.000 0.000
Sb2 0.000 0.500 0.000
Be1 0.500 0.500 0.500
Cu1 0.000 0.000 0.000
Te1 0.000 0.000 0.500

Results
SG: P4/mmm
N(E_F): 4.37 states/eV/cell
M_tot: 0.000 μB per atom

---

B | Density functional theory data (PBE) for a geometry-optimized BeCuSb2Te structure.

abc: 4.839 4.839 5.081
angles: 90.00 90.00 90.00
Fractional positions:
Be1 0.000 0.000 0.000
Te1 0.000 0.000 0.500
Cu1 0.500 0.500 0.500
Sb1 0.500 0.000 0.000
Sb2 0.000 0.500 0.000

Results
SG: P4/mmm
N(E_F): 3.42 states/eV/cell
M_tot: 0.000 μB per atom

---

Most stable: B. Least stable: A.